Material: ScRe2As
Method: DFT, meta-GGA SCAN
State: single point on PBEsol structure

Lattice parameters (Å, degrees): 4.457 4.457 4.457 60.00 60.00 60.00
Atoms (fractional coordinates):
Sc: 0.000 0.000 0.000
Re: 0.500 0.500 0.500
Re: 0.750 0.750 0.750
As: 0.250 0.250 0.250



Material: Sc5Zn3
Method: DFT, meta-GGA SCAN
State: single point on PBEsol structure

- Polymorph energy (0 for the lowest one): 0.00 kcal/mol of atoms

Lattice parameters (Å, degrees): 8.231 8.231 5.330 90.00 90.00 120.00
Atoms (fractional coordinates):
Sc: 0.000 0.238 0.250
Sc: 0.000 0.762 0.750
Sc: 0.238 0.000 0.250
Sc: 0.238 0.238 0.750
Sc: 0.333 0.667 0.000
Sc: 0.333 0.667 0.500
Sc: 0.667 0.333 0.000
Sc: 0.667 0.333 0.500
Sc: 0.762 0.000 0.750
Sc: 0.762 0.762 0.250
Zn: 0.000 0.403 0.750
Zn: 0.000 0.597 0.250
Zn: 0.403 0.000 0.750
Zn: 0.403 0.403 0.250
Zn: 0.597 0.000 0.250
Zn: 0.597 0.597 0.750



Material: YCrTc
Method: DFT, meta-GGA SCAN
State: single point on PBEsol structure

Lattice parameters (Å, degrees): 4.491 4.491 4.491 60.00 60.00 60.00
Atoms (fractional coordinates):
Y: 0.000 0.000 0.000
Cr: 0.750 0.750 0.750
Tc: 0.250 0.250 0.250



Material: UAs2
Method: DFT, meta-GGA SCAN
State: single point on PBEsol structure

Lattice parameters (Å, degrees): 3.907 3.907 7.912 90.00 90.00 90.00
Atoms (fractional coordinates):
U: 0.250 0.250 0.216
U: 0.750 0.750 0.784
As: 0.250 0.250 0.856
As: 0.250 0.750 0.500
As: 0.750 0.250 0.500
As: 0.750 0.750 0.144



Material: SrTaBe2
Method: DFT, meta-GGA SCAN
State: single point on PBEsol structure

- Polymorph energy (0 for the lowest one): 3.96 kcal/mol of atoms

Lattice parameters (Å, degrees): 5.293 5.293 5.293 136.98 136.98 62.47
Atoms (fractional coordinates):
Sr: 0.000 0.000 0.000
Ta: 0.750 0.250 0.500
Be: 0.250 0.750 0.500
Be: 0.500 0.500 0.000



Material: MnAg3Hg
Method: DFT, meta-GGA SCAN
State: single point on PBEsol structure

Lattice parameters (Å, degrees): 4.844 4.844 4.844 90.00 90.00 90.00
Atoms (fractional coordinates):
Mn: 0.000 0.000 0.000
Ag: 0.000 0.000 0.500
Ag: 0.000 0.500 0.000
Ag: 0.500 0.000 0.000
Hg: 0.500 0.500 0.500



Number 1: D(E_F) 3.87 states/eV/f.u., total DFT energy (no corrections) -44.013 eV per atom, formation energy 0.14 eV per atom. Number 2: D(E_F) 6.49 states/eV/f.u., total DFT energy (no corrections) -14.242 eV per atom, formation energy -0.28 eV per atom. Number 3: D(E_F) 3.45 states/eV/f.u., total DFT energy (no corrections) -25.810 eV per atom, formation energy 1.29 eV per atom. Number 4: D(E_F) 4.79 states/eV/f.u., total DFT energy (no corrections) -48.584 eV per atom, formation energy -0.61 eV per atom. Number 5: D(E_F) 1.66 states/eV/f.u., total DFT energy (no corrections) -23.235 eV per atom, formation energy 1.16 eV per atom. Number 6: D(E_F) 2.52 states/eV/f.u., total DFT energy (no corrections) -35.324 eV per atom, formation energy 0.78 eV per atom.